# 1
DFT (PBE-GGA) results for a relaxed structure of CsLiIBr.

Cell and atoms, written as POSCAR:
```
CsLiIBr
1.0
-4.835 0.601 -2.689
-1.784 -4.821 2.132
-3.871 5.006 8.080
Cs Li I Br
2 2 2 2
direct
0.000 0.500 0.807 Cs
0.500 0.000 0.193 Cs
0.000 0.500 0.402 Li
0.500 0.000 0.598 Li
0.000 0.000 0.500 I
0.500 0.500 0.500 I
0.500 0.000 0.840 Br
0.000 0.500 0.160 Br
```

Computed properties:
As for the crystal system: tetragonal. Its total energy is -2.994 eV per atom. As for the formation energy from raw total energies: -1497 meV per atom.


# 2
DFT (PBE-GGA) results for a relaxed structure of CsLiI2Br.

Cell and atoms, written as POSCAR:
```
CsLiI2Br
1.0
5.790 0.000 0.000
0.000 5.790 0.000
0.000 0.000 5.626
Cs I Br Li
1 2 1 1
direct
0.500 0.500 0.500 Cs
0.000 0.500 0.000 I
0.500 0.000 0.000 I
0.000 0.000 0.500 Br
0.000 0.000 0.000 Li
```

Computed properties:
As for the crystal system: tetragonal. Its total energy is -2.548 eV per atom. As for the formation energy from raw total energies: -1040 meV per atom.


# 3
DFT (PBE-GGA) results for a relaxed structure of Cs3LiI2Br6.

Cell and atoms, written as POSCAR:
```
Cs3LiI2Br6
1.0
-2.462 -7.647 -0.696
5.883 2.790 -4.757
6.143 -2.533 6.111
Cs Li I Br
3 1 2 6
direct
0.333 0.667 0.632 Cs
0.667 0.333 0.368 Cs
0.000 0.000 0.000 Cs
0.000 0.000 0.500 Li
0.667 0.333 0.915 I
0.333 0.667 0.085 I
0.679 0.840 0.327 Br
0.160 0.321 0.327 Br
0.160 0.840 0.327 Br
0.840 0.679 0.673 Br
0.321 0.160 0.673 Br
0.840 0.160 0.673 Br
```

Computed properties:
As for the crystal system: trigonal. Its total energy is -2.391 eV per atom. As for the formation energy from raw total energies: -923 meV per atom.


# 4
DFT (PBE-GGA) results for a relaxed structure of CsLi2I2Br.

Cell and atoms, written as POSCAR:
```
CsLi2I2Br
1.0
-3.677 5.104 1.184
-6.638 -5.228 1.921
3.898 1.033 7.652
Cs Li I Br
2 4 4 2
direct
0.750 0.320 0.680 Cs
0.250 0.680 0.320 Cs
0.500 0.148 0.149 Li
0.000 0.148 0.149 Li
0.000 0.852 0.851 Li
0.500 0.852 0.851 Li
0.250 0.162 0.405 I
0.250 0.595 0.836 I
0.750 0.838 0.595 I
0.750 0.405 0.164 I
0.250 0.091 0.909 Br
0.750 0.909 0.091 Br
```

Computed properties:
As for the crystal system: monoclinic. Its total energy is -3.007 eV per atom. As for the formation energy from raw total energies: -1432 meV per atom.


# 5
DFT (PBE-GGA) results for a relaxed structure of CsMgI2Br.

Cell and atoms, written as POSCAR:
```
CsMgI2Br
1.0
5.960 0.000 0.000
0.000 5.960 0.000
0.000 0.000 5.403
Cs I Mg Br
1 2 1 1
direct
0.500 0.500 0.500 Cs
0.000 0.500 0.000 I
0.500 0.000 0.000 I
0.000 0.000 0.000 Mg
0.000 0.000 0.500 Br
```

Computed properties:
As for the crystal system: tetragonal. For the energy above the most stable polymorph in this dataset, the calculation gives 0.5 kJ/mol of atoms. Its total energy is -2.774 eV per atom. As for the formation energy from raw total energies: -1330 meV per atom.


# 6
DFT (PBE-GGA) results for a relaxed structure of CsMgI2Br.

Cell and atoms, written as POSCAR:
```
CsMgI2Br
1.0
-3.605 -2.520 1.091
4.701 -3.212 8.112
-4.527 7.854 3.181
Cs Mg I Br
2 2 4 2
direct
0.250 0.682 0.342 Cs
0.750 0.318 0.658 Cs
0.250 0.860 0.825 Mg
0.750 0.140 0.175 Mg
0.750 0.911 0.642 I
0.750 0.840 0.040 I
0.250 0.089 0.358 I
0.250 0.160 0.960 I
0.250 0.600 0.721 Br
0.750 0.400 0.279 Br
```

Computed properties:
As for the crystal system: monoclinic. For the energy above the most stable polymorph in this dataset, the calculation gives 0.0 kJ/mol of atoms. Its total energy is -2.779 eV per atom. As for the formation energy from raw total energies: -1335 meV per atom.


# 7
DFT (PBE-GGA) results for a relaxed structure of Cs2MgI2Br2.

Cell and atoms, written as POSCAR:
```
Cs2MgI2Br2
1.0
-2.088 -5.084 2.273
-0.133 -2.381 -5.449
9.411 0.805 2.665
Cs Mg I Br
2 1 2 2
direct
0.354 0.354 0.707 Cs
0.646 0.646 0.293 Cs
0.000 0.000 0.000 Mg
0.000 0.500 0.000 I
0.500 0.000 0.000 I
0.150 0.150 0.299 Br
0.850 0.850 0.701 Br
```

Computed properties:
As for the crystal system: tetragonal. Its total energy is -2.861 eV per atom. As for the formation energy from raw total energies: -1468 meV per atom.


# 8
DFT (PBE-GGA) results for a relaxed structure of CsMnIBr2.

Cell and atoms, written as POSCAR:
```
CsMnIBr2
1.0
-4.179 -2.060 -2.878
3.539 -2.443 -3.391
-0.009 -4.734 3.402
Cs I Mn Br
1 1 1 2
direct
0.500 0.500 0.500 Cs
0.000 0.000 0.500 I
0.000 0.000 0.000 Mn
0.000 0.500 0.000 Br
0.500 0.000 0.000 Br
```

Computed properties:
As for the crystal system: tetragonal. Its total energy is -4.042 eV per atom. As for the formation energy from raw total energies: -1059 meV per atom.